# 1
Below is a relaxed ScBS2N crystal, with properties calculated at the PBE level.

Output
**Uncorrected formation energy**: 1.02 eV/atom
**E_tot**: -4.901 eV/atom
**SG**: P4/mmm

abc: 4.9766 4.9766 4.2015
angles: 90.00 90.00 90.00
With the nearest neighbours (Å) after each atom.
Atoms (fractional coordinates):
Sc  0.0000  0.0000  0.0000  2 N 2.10
B  0.5000  0.5000  0.5000  8 S 3.26, 4 N 3.52
S  0.0000  0.5000  0.0000  2 Sc 2.49
S  0.5000  0.0000  0.0000  2 Sc 2.49
N  0.0000  0.0000  0.5000  2 Sc 2.10

***

# 2
Below is a relaxed Pr5RuAu2 crystal, with properties calculated at the PBE level.

Output
**E_tot**: -5.453 eV/atom
**SG**: Pbam

abc: 8.8820 12.3867 4.2334
angles: 90.00 90.00 90.00
With the nearest neighbours (Å) after each atom.
Atoms (fractional coordinates):
Pr  0.0000  0.0000  0.0000  4 Au 3.10
Pr  0.1465  0.3004  0.0000  1 Ru 2.79
Pr  0.1801  0.5802  0.5000  2 Ru 2.83
Pr  0.3199  0.0802  0.5000  2 Ru 2.83
Pr  0.3535  0.8004  0.0000  1 Ru 2.79
Pr  0.5000  0.5000  0.0000  4 Au 3.10
Pr  0.6465  0.1996  0.0000  1 Ru 2.79
Pr  0.6801  0.9198  0.5000  2 Ru 2.83
Pr  0.8199  0.4198  0.5000  2 Ru 2.83
Pr  0.8535  0.6996  0.0000  1 Ru 2.79
Ru  0.0000  0.5000  0.0000  6 Pr 2.79-2.83
Ru  0.5000  0.0000  0.0000  6 Pr 2.79-2.83
Au  0.0690  0.8244  0.5000  7 Pr 3.10-3.31
Au  0.4310  0.3244  0.5000  7 Pr 3.10-3.31
Au  0.5690  0.6756  0.5000  7 Pr 3.10-3.31
Au  0.9310  0.1756  0.5000  7 Pr 3.10-3.31

***

# 3
Below is a relaxed Ce6Tl2Ge crystal, with properties calculated at the PBE level.

Output
**E_tot**: -5.247 eV/atom
**SG**: C2/m

abc: 5.3670 5.3670 9.4153
angles: 91.34 91.34 62.66
With the nearest neighbours (Å) after each atom.
Atoms (fractional coordinates):
Ce  0.0232  0.0232  0.3156  1 Ce 2.78, 1 Ge 2.97
Ce  0.3197  0.3197  0.3874  2 Ce 2.69-2.78
Ce  0.3364  0.3364  0.1023  1 Ce 2.69
Ce  0.6636  0.6636  0.8977  1 Ce 2.69
Ce  0.6803  0.6803  0.6126  2 Ce 2.69-2.78
Ce  0.9768  0.9768  0.6844  1 Ce 2.78, 1 Ge 2.97
Tl  0.3255  0.3255  0.7444  11 Ce 3.17-3.51
Tl  0.6745  0.6745  0.2556  11 Ce 3.17-3.51
Ge  0.0000  0.0000  0.0000  8 Ce 2.97-3.32

***

# 4
Below is a relaxed TeMo2SeS2 crystal, with properties calculated at the PBE level.

Output
**Uncorrected formation energy**: -0.63 eV/atom
**E_tot**: -6.717 eV/atom
**SG**: P3m1

abc: 3.3076 3.3076 28.7936
angles: 90.00 90.00 120.00
With the nearest neighbours (Å) after each atom.
Atoms (fractional coordinates):
Te  0.0000  0.0000  0.0000  3 Mo 2.70
Te  0.0000  0.0000  0.1330  3 Mo 2.71
Mo  0.0000  0.0000  0.3269  6 S 2.44
Mo  0.0000  0.0000  0.8053  6 Se 2.54
Mo  0.6667  0.3333  0.0665  6 Te 2.70-2.71
Mo  0.6667  0.3333  0.5619  6 S 2.44-2.45
Se  0.6667  0.3333  0.7470  3 Mo 2.54
Se  0.6667  0.3333  0.8637  3 Mo 2.54
S  0.0000  0.0000  0.5089  3 Mo 2.45
S  0.0000  0.0000  0.6149  3 Mo 2.44
S  0.6667  0.3333  0.2739  3 Mo 2.44
S  0.6667  0.3333  0.3799  3 Mo 2.44

***

# 5
Below is a relaxed TmCu2Ni crystal, with properties calculated at the PBE level.

Output
**E_tot**: -4.650 eV/atom
**SG**: Cmmm

abc: 3.9762 3.9762 4.2791
angles: 90.00 90.00 102.37
With the nearest neighbours (Å) after each atom.
Atoms (fractional coordinates):
Tm  0.0000  0.0000  0.0000  2 Ni 2.49
Cu  0.3095  0.6905  0.5000  3 Cu 2.36-2.60, 2 Ni 2.44
Cu  0.6905  0.3095  0.5000  3 Cu 2.36-2.60, 2 Ni 2.44
Ni  0.5000  0.5000  0.0000  4 Cu 2.44, 2 Tm 2.49

***

# 6
Below is a relaxed TbSm2Hg crystal, with properties calculated at the PBE level.

Output
**E_tot**: -3.732 eV/atom
**SG**: P4/mmm

abc: 5.5792 5.5792 3.7631
angles: 90.00 90.00 90.00
With the nearest neighbours (Å) after each atom.
Atoms (fractional coordinates):
Tb  0.0000  0.0000  0.0000  8 Sm 3.36, 2 Tb 3.76
Sm  0.0000  0.5000  0.5000  4 Hg 3.36, 4 Tb 3.36, 2 Sm 3.76
Sm  0.5000  0.0000  0.5000  4 Hg 3.36, 4 Tb 3.36, 2 Sm 3.76
Hg  0.5000  0.5000  0.0000  8 Sm 3.36, 2 Hg 3.76

***

# 7
Below is a relaxed ThAs2Pd5 crystal, with properties calculated at the PBE level.

Output
**E_tot**: -5.952 eV/atom
**SG**: Immm

abc: 6.3987 6.3987 6.3987
angles: 142.26 111.69 80.77
With the nearest neighbours (Å) after each atom.
Atoms (fractional coordinates):
Th  0.0000  0.0000  0.0000  4 As 3.20, 8 Pd 3.31
As  0.2501  0.7501  0.5000  3 Pd 2.41-2.44
As  0.7499  0.2499  0.5000  3 Pd 2.41-2.44
Pd  0.1584  0.3558  0.8026  1 As 2.41
Pd  0.4467  0.6442  0.8026  1 As 2.41
Pd  0.5000  0.0000  0.5000  2 As 2.44
Pd  0.5533  0.3558  0.1974  1 As 2.41
Pd  0.8416  0.6442  0.1974  1 As 2.41

***

# 8
Below is a relaxed CdCu3 crystal, with properties calculated at the PBE level.

Output
**E_tot**: -3.137 eV/atom
**SG**: Pm-3n

abc: 4.8770 4.8770 4.8770
angles: 90.00 90.00 90.00
With the nearest neighbours (Å) after each atom.
Atoms (fractional coordinates):
Cd  0.0000  0.0000  0.0000  12 Cu 2.73
Cd  0.5000  0.5000  0.5000  12 Cu 2.73
Cu  0.0000  0.2500  0.5000  2 Cu 2.44, 4 Cd 2.73
Cu  0.0000  0.7500  0.5000  2 Cu 2.44, 4 Cd 2.73
Cu  0.2500  0.5000  0.0000  2 Cu 2.44, 4 Cd 2.73
Cu  0.5000  0.0000  0.2500  2 Cu 2.44, 4 Cd 2.73
Cu  0.5000  0.0000  0.7500  2 Cu 2.44, 4 Cd 2.73
Cu  0.7500  0.5000  0.0000  2 Cu 2.44, 4 Cd 2.73